## ErO4 (PBE)

Data for a relaxed ErO4 crystal.

Structure (extended XYZ):
```
5
Lattice="-2.4712 -3.4319 -1.3356 3.5884 -1.8826 -1.8022 0.8277 -2.0848 3.8258" Properties=species:S:1:pos:R:3 pbc="T T T"
O 0.5586 -2.6572 -1.5689
O -0.8218 -2.7584 1.2451
O 0.0000 0.0000 0.0000
O 2.2080 -1.9837 1.0118
Er 0.9724 -3.6996 0.3440
```

Output
total magnetization = 5.0 μB/f.u.
uncorrected energy = -26.9 eV per cell

## Er5O (PBE)

Data for a relaxed Er5O crystal.

Structure (extended XYZ):
```
6
Lattice="6.1821 0.0000 0.0000 0.0000 3.2669 0.0000 0.0000 -1.6334 8.7272" Properties=species:S:1:pos:R:3 pbc="T T T"
Er 3.0910 1.6334 5.8262
Er 0.0000 1.6334 1.6359
Er 0.0000 0.0000 7.0913
Er 3.0910 0.0000 2.9010
Er 3.0910 1.6334 0.0000
O 0.0000 0.0000 0.0000
```

Output
total magnetization = 0.0 μB/f.u.
uncorrected energy = -30.2 eV per cell

## Er2O3 (PBE)

Data for a relaxed Er2O3 crystal.

Structure (extended XYZ):
```
5
Lattice="6.5201 -1.8320 0.0037 6.5201 1.8320 0.0037 6.0036 0.0000 3.1345" Properties=species:S:1:pos:R:3 pbc="T T T"
Er 9.4956 0.0000 1.5666
Er 0.1146 0.0000 0.0189
O 6.7544 0.0000 1.1143
O 16.9978 0.0000 2.8043
O 2.3446 0.0000 0.3868
```

Output
total magnetization = 0.0 μB/f.u.
uncorrected energy = -41.5 eV per cell

## Er2O3 (PBE)

Data for a relaxed Er2O3 crystal.

Structure (extended XYZ):
```
5
Lattice="3.6345 0.0000 0.0000 -1.8170 3.1477 0.0000 -0.0005 0.0003 5.8316" Properties=species:S:1:pos:R:3 pbc="T T T"
Er 1.8170 1.0494 4.3733
Er -0.0001 2.0986 1.4582
O -0.0002 2.0987 3.7655
O 1.8172 1.0493 2.0661
O 0.0000 0.0000 0.0000
```

Output
total magnetization = 0.0 μB/f.u.
uncorrected energy = -41.8 eV per cell

## ErO (PBE)

Data for a relaxed ErO crystal.

Structure (extended XYZ):
```
4
Lattice="3.9243 -0.4344 0.0000 -1.5773 3.6226 0.0000 0.0000 0.0000 4.7726" Properties=species:S:1:pos:R:3 pbc="T T T"
O 1.3030 2.7278 3.5795
O 1.0440 0.4604 1.1932
Er 1.0433 0.4614 3.5795
Er 1.3037 2.7268 1.1932
```

Output
total magnetization = 0.2 μB/f.u.
uncorrected energy = -30.2 eV per cell

## Er4O (PBE)

Data for a relaxed Er4O crystal.

Structure (extended XYZ):
```
5
Lattice="-3.3971 2.6669 2.2772 -2.9047 -3.9163 0.2533 1.9649 -1.1786 4.3115" Properties=species:S:1:pos:R:3 pbc="T T T"
O -2.1685 -1.2139 3.4210
Er -0.4699 -2.5474 2.2824
Er 0.0000 0.0000 0.0000
Er -3.1509 -0.6247 1.2652
Er -0.7161 0.7442 3.2943
```

Output
total magnetization = 0.0 μB/f.u.
uncorrected energy = -28.7 eV per cell

## Er2O3 (PBE)

Data for a relaxed Er2O3 crystal.

Structure (extended XYZ):
```
40
Lattice="-5.8196 1.6790 6.8386 7.4514 -4.1368 3.2889 2.3895 7.8742 -3.9675" Properties=species:S:1:pos:R:3 pbc="T T T"
O 3.3278 4.0197 4.5070
O -2.0035 2.0215 5.2285
O -1.9850 2.7420 2.4111
O 0.4842 3.4420 4.6996
O -0.0408 4.3057 -0.0269
O 1.5999 0.7797 4.3465
O 3.5370 1.9744 1.4604
O 4.0620 1.1106 6.1870
O -0.5443 5.8523 3.0591
O 1.6794 6.1045 -2.7315
O 4.5656 -0.4359 3.1009
O 1.3612 7.4450 0.0363
O 4.4438 5.9824 -0.6900
O 2.4213 4.6366 1.8136
O 2.6601 -2.0286 6.1237
O 7.8462 4.6908 -1.2043
O 2.3418 -0.6881 8.8915
O 0.6934 1.3966 1.6530
O 0.7628 2.2468 7.3417
O 6.0248 3.3949 0.9316
O 3.2584 3.1695 -1.1817
O -3.8249 0.7256 7.3643
O 6.0063 2.6743 3.7489
O -0.4225 -0.5660 6.8500
Er -1.7151 4.7766 1.4356
Er 4.4171 3.7235 2.5768
Er 4.0207 -2.3682 4.2709
Er -2.2184 6.6313 4.3517
Er 4.9204 1.8687 -0.3393
Er 6.2397 -1.2150 1.8084
Er -0.3958 1.6929 3.5832
Er 2.3056 2.4084 5.7065
Er 0.0006 7.7846 1.8891
Er 2.5441 0.1968 2.3846
Er -3.4432 3.3509 4.1147
Er 1.7157 3.0080 0.4536
Er 1.4772 5.2196 3.7754
Er 0.8159 -1.2289 5.0638
Er 0.0000 0.0000 0.0000
Er 7.4645 2.0655 2.0453
```

Output
total magnetization = 0.0 μB/f.u.
uncorrected energy = -337.6 eV per cell

## ErO5 (PBE)

Data for a relaxed ErO5 crystal.

Structure (extended XYZ):
```
6
Lattice="-0.7165 0.9916 -3.4097 1.7148 -3.1187 0.6570 -8.9709 -2.1764 1.2522" Properties=species:S:1:pos:R:3 pbc="T T T"
O -6.9736 -1.1611 -0.7966
O -2.3956 -2.5060 -2.1497
O -4.5254 -3.2981 -0.0082
O -2.2337 -1.2074 -1.8061
O 0.3408 -1.7601 -0.5835
Er -1.1067 -0.2899 0.1483
```

Output
total magnetization = 1.0 μB/f.u.
uncorrected energy = -37.1 eV per cell

## Er2O3 (PBE)

Data for a relaxed Er2O3 crystal.

Structure (extended XYZ):
```
15
Lattice="-3.5617 -6.2149 0.5790 -2.3201 -6.2644 -2.6497 6.3654 -5.1404 2.5266" Properties=species:S:1:pos:R:3 pbc="T T T"
O -0.9332 -8.3741 -0.2306
O -3.3421 -12.3350 -1.0963
O 1.3139 -15.2821 0.7394
O -0.8304 -2.3376 -0.2835
O 3.8256 -5.2847 1.5521
O -0.7020 -13.0969 -0.0694
O -2.9409 -6.2396 -1.0354
O 1.4168 -9.2456 0.6864
O 1.1856 -4.5228 0.5252
Er -0.5113 -16.2603 0.0525
Er 0.9564 -7.0597 0.4759
Er -0.9417 -4.5568 -0.2924
Er 0.9948 -1.3593 0.4034
Er -0.4729 -10.5600 -0.0201
Er 1.4253 -13.0629 0.7482
```

Output
total magnetization = 0.0 μB/f.u.
uncorrected energy = -125.9 eV per cell

## ErOsO (PBE)

Data for a relaxed ErOsO crystal.

Structure (extended XYZ):
```
6
Lattice="3.1784 0.0000 0.0000 0.0000 3.1784 0.0000 0.0000 0.0000 9.8261" Properties=species:S:1:pos:R:3 pbc="T T T"
Os 1.5892 0.0000 0.5555
Os 0.0000 1.5892 9.2707
Er 0.0000 1.5892 6.3755
Er 1.5892 0.0000 3.4506
O 0.0000 1.5892 3.9231
O 1.5892 0.0000 5.9030
```

Output
total magnetization = 0.0 μB/f.u.
uncorrected energy = -51.0 eV per cell

## ErOsO4 (PBE)

Data for a relaxed ErOsO4 crystal.

Structure (extended XYZ):
```
24
Lattice="5.2946 0.0000 0.0000 0.0000 7.5752 -1.1658 0.0000 -0.0951 7.3616" Properties=species:S:1:pos:R:3 pbc="T T T"
Os 3.8584 6.2935 4.1880
Os 1.4363 1.1866 2.0079
Os 4.0836 6.3410 0.5072
Os 1.2111 1.1391 5.6887
O 0.4462 7.1388 1.1366
O 3.0935 0.3889 1.3784
O 0.6632 1.2765 0.2011
O 0.0972 5.1661 3.7504
O 5.1728 4.6046 0.5921
O 2.7691 4.5570 4.2729
O 2.5255 2.9231 1.9229
O 5.1974 2.3140 2.4455
O 4.8484 0.3413 5.0592
O 4.6314 6.2036 5.9948
O 2.7445 2.2664 6.1263
O 1.9841 1.2289 3.8819
O 0.1218 2.8755 5.6038
O 2.5501 5.2136 0.0696
O 2.2011 7.0912 4.8174
O 3.3105 6.2511 2.3140
Er 1.5112 4.8604 2.1095
Er 3.7835 2.6197 4.0863
Er 1.1361 4.8128 5.7903
Er 4.1585 2.6672 0.4055
```

Output
ΔE to the lowest computed polymorph = 0 meV per atom
total magnetization = 0.0 μB/f.u.
uncorrected energy = -192.4 eV per cell

## ErOsO4 (PBE)

Data for a relaxed ErOsO4 crystal.

Structure (extended XYZ):
```
6
Lattice="3.2998 0.0000 0.0000 0.0001 4.8470 0.0480 0.0000 0.0562 4.8469" Properties=species:S:1:pos:R:3 pbc="T T T"
O 1.6500 3.4953 1.4018
O 1.6500 1.4079 3.4931
O 0.0002 4.0587 4.0516
O 3.2998 0.8445 0.8432
Os 1.6499 0.0000 0.0000
Er 0.0001 2.4516 2.4474
```

Output
ΔE to the lowest computed polymorph = 87 meV per atom
total magnetization = 1.3 μB/f.u.
uncorrected energy = -47.6 eV per cell

## Er6OsO12 (PBE)

Data for a relaxed Er6OsO12 crystal.

Structure (extended XYZ):
```
19
Lattice="-6.2241 0.7159 -1.3969 -0.2296 -5.9246 2.4596 0.1550 3.3267 5.4874" Properties=species:S:1:pos:R:3 pbc="T T T"
O -2.7952 -2.5992 1.8229
O -1.7245 2.9678 5.0551
O -4.5743 -4.8497 1.4950
O -1.1119 -0.4663 4.0544
O -0.6474 -4.6595 3.8995
O -5.6514 2.7776 2.6507
O -0.2475 -1.0570 6.7454
O -5.1869 -1.4156 2.4957
O -3.6492 0.8079 1.9806
O -6.0513 -0.8249 -0.1952
O -2.6496 -2.6898 4.5696
O -3.5036 0.7173 4.7273
Er -0.9875 -2.4624 3.0349
Er -5.3113 0.5804 3.5153
Er -2.4487 -0.9254 5.8353
Er -1.9058 1.4041 3.2628
Er -3.8501 -0.9565 0.7148
Er -4.3930 -3.2860 3.2874
Os 0.0000 0.0000 0.0000
```

Output
total magnetization = 2.0 μB/f.u.
uncorrected energy = -156.9 eV per cell

## Er2OsO (PBE)

Data for a relaxed Er2OsO crystal.

Structure (extended XYZ):
```
4
Lattice="3.1716 0.0000 0.0000 0.0000 3.1716 0.0000 0.0000 0.0000 6.7226" Properties=species:S:1:pos:R:3 pbc="T T T"
Er 0.0000 0.0000 1.5917
Er 0.0000 0.0000 5.1309
O 1.5858 1.5858 0.0000
Os 1.5858 1.5858 3.3613
```

Output
total magnetization = 0.0 μB/f.u.
uncorrected energy = -29.9 eV per cell

## Er4OsO10 (PBE)

Data for a relaxed Er4OsO10 crystal.

Structure (extended XYZ):
```
15
Lattice="-2.3510 1.1207 -4.5808 -0.9641 -5.1065 -3.7853 -6.4197 -0.2904 0.1930" Properties=species:S:1:pos:R:3 pbc="T T T"
Er -4.2855 -3.7193 -4.7720
Er -2.1716 -1.8867 -2.3778
Er -5.4493 -0.5569 -3.4010
Er -7.5633 -2.3894 -5.7952
O -3.2810 -2.7409 -6.6988
O -6.4538 -1.5352 -1.4742
O -2.0006 -3.3513 -4.2041
O -7.7628 -3.8172 -7.6927
O -6.4824 -4.4276 -5.1979
O -3.2525 0.1514 -2.9751
O -7.7343 -0.9249 -3.9689
O -5.4552 -1.8579 -5.2317
O -4.2797 -2.4183 -2.9413
O -1.9721 -0.4590 -0.4803
Os 0.0000 0.0000 0.0000
```

Output
total magnetization = 3.0 μB/f.u.
uncorrected energy = -116.2 eV per cell

## Er12Os3O5 (PBE)

Data for a relaxed Er12Os3O5 crystal.

Structure (extended XYZ):
```
80
Lattice="-6.7670 10.3407 3.9570 3.4845 -7.0873 10.2960 10.6186 3.9435 -6.3304" Properties=species:S:1:pos:R:3 pbc="T T T"
Os 9.7773 1.6062 1.8851
Os 9.3165 2.9713 -2.4705
Os 2.2948 0.4340 6.3362
Os 0.6237 6.1699 2.6732
Os 4.6103 4.0188 8.0202
Os 2.7258 3.1781 -0.0977
Os -2.4412 5.5907 6.0374
Os -2.8309 9.1480 3.1667
Os 6.7123 1.0269 5.2494
Os 10.1670 -1.9512 4.7558
Os 5.0412 6.7628 1.5863
Os -1.9804 4.2255 10.3930
O 5.8619 5.9495 -1.9769
O 1.9258 7.1421 -1.1867
O 0.0000 0.0000 0.0000
O 3.1154 -0.3793 2.7730
O -0.3392 2.5989 3.2666
O 5.3093 1.9718 -3.1652
O -1.6413 1.6267 7.1265
O 2.6845 -3.1233 9.2069
O -3.3835 5.1703 1.9785
O 4.2206 7.5761 5.1495
O 1.0845 4.8047 7.0288
O 7.6752 4.5980 4.6560
O 1.7422 -3.5437 5.1480
O 4.6516 10.3201 -1.2844
O 3.6680 3.5984 3.9613
O 1.5866 9.7409 2.0798
O 7.0515 -1.5719 1.9828
O 6.2515 2.3921 0.8937
O 1.4742 1.2474 9.8995
O 5.7494 -2.5441 5.8427
Er 5.7532 3.7446 5.2932
Er 7.0173 0.8861 2.2989
Er 0.7576 11.2076 0.6691
Er 6.5872 4.0738 -2.8625
Er 1.6388 -1.2900 4.1216
Er 9.5199 -1.3495 2.0124
Er -4.1046 6.5664 3.8953
Er 2.5141 3.3893 6.1448
Er 3.3747 1.4375 8.8130
Er 8.8731 2.7657 4.4651
Er -2.1838 8.5463 5.9102
Er 5.0294 1.5678 -0.7359
Er 5.4408 9.5393 0.6120
Er 3.3611 6.0537 3.8183
Er 9.9068 0.6193 -0.9126
Er 9.4450 5.0588 -4.4537
Er 0.1119 8.8920 3.4703
Er 0.3188 6.3107 5.6237
Er 9.2382 0.1261 6.5248
Er 3.8191 -4.9949 9.0104
Er 5.0711 6.7727 7.0096
Er 0.7488 3.1231 10.7851
Er 2.3371 7.9041 1.1356
Er 5.6973 8.4868 3.8009
Er 4.9990 -0.7073 6.7869
Er 6.6190 1.9524 8.0695
Er 8.1375 3.3070 0.2342
Er 3.9749 1.1431 4.1043
Er 2.2649 0.4241 0.9129
Er 7.5651 5.8002 2.8199
Er 3.9613 5.7594 -0.8904
Er -0.2290 1.3967 5.1027
Er -2.5707 6.5775 8.8352
Er 6.5785 -4.0108 7.2535
Er -2.1090 2.1380 12.3762
Er 11.4406 0.6305 4.0273
Er 7.2241 -1.6952 4.4522
Er 0.7171 5.2445 -0.1469
Er 1.8952 -2.3425 7.3106
Er -1.9021 7.0707 1.3977
Er 2.3066 5.6291 8.6584
Er 7.1452 6.7513 -0.3836
Er -0.8014 3.8899 7.6883
Er 4.8219 3.8076 1.7777
Er -1.5371 4.4311 3.4575
Er 0.1908 0.4456 8.3061
Er 1.5829 3.4523 2.6294
Er 3.5169 12.1917 -1.0878
```

Output
total magnetization = 0.0 μB/f.u.
uncorrected energy = -577.7 eV per cell

## ErOsO5 (PBE)

Data for a relaxed ErOsO5 crystal.

Structure (extended XYZ):
```
14
Lattice="5.1607 0.0250 1.8976 1.1741 5.0254 1.8976 -0.0384 -0.0306 7.4822" Properties=species:S:1:pos:R:3 pbc="T T T"
O 1.5144 4.5395 7.5093
O 4.9966 3.8377 3.8129
O 4.7820 0.4803 3.7682
O 4.8352 4.0007 7.5540
O 2.2553 3.4656 5.3224
O 4.0411 1.5542 5.9550
O 1.2998 1.1821 7.4646
O 3.8617 1.4112 9.0635
O 2.4347 3.6085 2.2139
O 1.4612 1.0191 3.7235
Os 0.0000 0.0000 0.0000
Os -0.0192 -0.0153 3.7411
Er 3.3338 2.2968 3.7682
Er 2.9626 2.7230 7.5093
```

Output
total magnetization = 1.0 μB/f.u.
uncorrected energy = -107.4 eV per cell

## Er2OsPbO8 (PBE)

Data for a relaxed Er2OsPbO8 crystal.

Structure (extended XYZ):
```
12
Lattice="4.9839 -0.0392 -0.0029 -0.0127 4.9808 -0.0054 0.0041 0.0074 6.8237" Properties=species:S:1:pos:R:3 pbc="T T T"
Pb 0.0020 0.0037 3.4118
O 4.0717 0.8928 5.3745
O 3.6420 3.6269 -0.0061
O 3.4176 3.4064 3.4061
O 1.5577 1.5425 3.4092
O 1.3292 1.3146 -0.0022
O 0.9036 4.0561 1.4408
O 0.9060 4.0604 5.3729
O 4.0693 0.8886 1.4424
Os 0.0000 0.0000 0.0000
Er 2.4866 2.4726 1.7146
Er 2.4887 2.4763 5.1007
```

Output
total magnetization = 0.0 μB/f.u.
uncorrected energy = -88.4 eV per cell